Entry from Alexandria via LeMat-Bulk: a geometry-optimized VSb2F8 structure (PBE+U).

a = 6.679 Å, b = 9.849 Å, c = 7.227 Å
α = 78.57°, β = 62.48°, γ = 70.18°
Fractional coordinates of all 22 atoms:
1 F 0.681 0.338 0.048
2 F 0.935 0.602 0.364
3 F 0.275 0.939 0.159
4 F 0.373 0.561 0.341
5 F 0.065 0.398 0.636
6 F 0.725 0.061 0.841
7 F 0.244 0.241 0.044
8 F 0.627 0.439 0.659
9 F 0.528 0.259 0.456
10 F 0.934 0.838 0.548
11 F 0.319 0.662 0.952
12 F 0.902 0.898 0.136
13 F 0.066 0.162 0.452
14 F 0.756 0.759 0.956
15 F 0.472 0.741 0.544
16 F 0.098 0.102 0.864
17 V 0.140 0.750 0.250
18 V 0.860 0.250 0.750
19 Sb 0.979 0.873 0.817
20 Sb 0.331 0.373 0.317
21 Sb 0.021 0.127 0.183
22 Sb 0.669 0.627 0.683

Computed properties:
Total magnetization   6.0 μB per cell
Crystal system   monoclinic
SG   No. 15
DFT total energy   -5.177 eV per atom
N(E_F)   0.00 states/eV/f.u.